Density functional theory data (PBE) for a relaxed structure of LaSm3H8.

Properties
- E_tot (eV per atom) = -4.497
- M_tot (μB/f.u.) = 0.0
- space-group type = Pm-3m, No. 221

Cell lengths 5.433, 5.433, 5.433 Å; angles 90.00, 90.00, 90.00 degrees
Fractional positions:
Sm1 0.500 0.000 0.500
Sm2 0.000 0.500 0.500
Sm3 0.500 0.500 0.000
La1 0.000 0.000 0.000
H1 0.257 0.257 0.743
H2 0.743 0.743 0.743
H3 0.257 0.257 0.257
H4 0.257 0.743 0.743
H5 0.743 0.257 0.743
H6 0.743 0.743 0.257
H7 0.743 0.257 0.257
H8 0.257 0.743 0.257

Density functional theory data (PBE) for a relaxed structure of PaNiBi.

Properties
- E_tot (eV per atom) = -6.546
- M_tot (μB/f.u.) = 0.9
- space-group type = P-3m1, No. 164

Cell lengths 4.538, 4.538, 8.246 Å; angles 90.00, 90.00, 120.00 degrees
Fractional positions:
Bi1 0.667 0.333 0.669
Bi2 0.333 0.667 0.331
Ni1 0.000 0.000 0.158
Ni2 0.000 0.000 0.842
Pa1 0.667 0.333 0.077
Pa2 0.333 0.667 0.923

Density functional theory data (PBE) for a relaxed structure of Al4TcPb.

Properties
- E_tot (eV per atom) = -4.607
- M_tot (μB/f.u.) = 0.0
- space-group type = F-43m, No. 216

Cell lengths 5.288, 5.288, 5.288 Å; angles 60.00, 60.00, 60.00 degrees
Fractional positions:
Al1 0.881 0.373 0.373
Al2 0.373 0.881 0.373
Al3 0.373 0.373 0.373
Al4 0.373 0.373 0.881
Tc1 0.000 0.000 0.000
Pb1 0.750 0.750 0.750

Density functional theory data (PBE) for a relaxed structure of TaSb2Cl.

Properties
- M_tot (μB/f.u.) = 0.0
- space-group type = F-43m, No. 216
- ΔE_f (raw) (meV/atom) = 424
- E above lowest polymorph (meV per atom) = 594

Cell lengths 4.972, 4.972, 4.972 Å; angles 60.00, 60.00, 60.00 degrees
Fractional positions:
Sb1 0.000 0.000 0.000
Sb2 0.250 0.250 0.250
Ta1 0.750 0.750 0.750
Cl1 0.500 0.500 0.500

Density functional theory data (PBE) for a relaxed structure of Y2InTe2.

Properties
- M_tot (μB/f.u.) = 0.0
- space-group type = P4/mbm, No. 127
- ΔE_f (raw) (meV/atom) = -841
- E above lowest polymorph (meV per atom) = 53

Cell lengths 8.653, 8.653, 3.852 Å; angles 90.00, 90.00, 90.00 degrees
Fractional positions:
Te1 0.143 0.357 0.000
Te2 0.643 0.143 0.000
Te3 0.857 0.643 0.000
Te4 0.357 0.857 0.000
Y1 0.349 0.151 0.500
Y2 0.849 0.349 0.500
Y3 0.651 0.849 0.500
Y4 0.151 0.651 0.500
In1 0.500 0.500 0.000
In2 0.000 0.000 0.000

Density functional theory data (PBE) for a relaxed structure of PmThTl2.

Properties
- E_tot (eV per atom) = -4.486
- M_tot (μB/f.u.) = 0.0
- space-group type = P4/mmm, No. 123

Cell lengths 3.602, 3.602, 8.967 Å; angles 90.00, 90.00, 90.00 degrees
Fractional positions:
Tl1 0.000 0.000 0.746
Tl2 0.000 0.000 0.254
Th1 0.500 0.500 0.000
Pm1 0.500 0.500 0.500

Density functional theory data (PBE) for a relaxed structure of HfTiNi2.

Properties
- M_tot (μB/f.u.) = 0.0
- space-group type = R-3m, No. 166
- E above lowest polymorph (meV per atom) = 57

Cell lengths 4.205, 4.205, 4.665 Å; angles 63.21, 63.21, 60.00 degrees
Fractional positions:
Ni1 0.220 0.220 0.341
Ni2 0.780 0.780 0.659
Ti1 0.500 0.500 0.500
Hf1 0.000 0.000 0.000

Density functional theory data (PBE) for a relaxed structure of MgZnPt2.

Properties
- E_tot (eV per atom) = -4.470
- M_tot (μB/f.u.) = 0.0
- space-group type = P2/m, No. 10

Cell lengths 3.524, 2.941, 6.569 Å; angles 63.21, 90.00, 90.00 degrees
Fractional positions:
Pt1 0.000 0.507 0.494
Pt2 0.000 0.993 0.006
Zn1 0.500 0.250 0.250
Mg1 0.500 0.750 0.750

Density functional theory data (PBE) for a relaxed structure of La4PmHo7.

Properties
- E_tot (eV per atom) = -4.463
- M_tot (μB/f.u.) = 0.0
- space-group type = C2/m, No. 12

Cell lengths 5.961, 11.856, 6.778 Å; angles 83.48, 63.91, 75.44 degrees
Fractional positions:
Pm1 0.000 0.000 0.000
La1 0.365 0.778 0.492
La2 0.635 0.222 0.508
La3 0.219 0.337 0.226
La4 0.781 0.663 0.774
Ho1 0.071 0.689 0.170
Ho2 0.929 0.311 0.830
Ho3 0.367 0.494 0.772
Ho4 0.500 0.000 0.000
Ho5 0.633 0.506 0.228
Ho6 0.789 0.924 0.498
Ho7 0.211 0.076 0.502

Density functional theory data (PBE) for a relaxed structure of PmEuAsPd.

Properties
- E_tot (eV per atom) = -7.127
- M_tot (μB/f.u.) = 7.1
- space-group type = F-43m, No. 216

Cell lengths 5.150, 5.150, 5.150 Å; angles 60.00, 60.00, 60.00 degrees
Fractional positions:
Pm1 0.250 0.250 0.250
Pd1 0.500 0.500 0.500
As1 0.000 0.000 0.000
Eu1 0.750 0.750 0.750

Density functional theory data (PBE) for a relaxed structure of DyHoPu2Se5.

Properties
- M_tot (μB/f.u.) = 11.9
- space-group type = P4/mmm, No. 123
- ΔE_f (raw) (meV/atom) = -1154

Cell lengths 5.126, 5.126, 10.751 Å; angles 90.00, 90.00, 90.00 degrees
Fractional positions:
Ho1 0.000 0.000 0.500
Pu1 0.500 0.500 0.692
Pu2 0.500 0.500 0.308
Se1 0.000 0.500 0.500
Se2 0.000 0.000 0.244
Se3 0.000 0.000 0.756
Se4 0.500 0.500 0.000
Se5 0.500 0.000 0.500
Dy1 0.000 0.000 0.000

Density functional theory data (PBE) for a relaxed structure of PmSm2Dy6Er3.

Properties
- E_tot (eV per atom) = -4.606
- M_tot (μB/f.u.) = 0.0
- space-group type = C2/m, No. 12

Cell lengths 6.158, 6.158, 11.777 Å; angles 94.98, 94.98, 119.96 degrees
Fractional positions:
Dy1 0.752 0.752 0.254
Dy2 0.581 0.914 0.746
Dy3 0.248 0.248 0.746
Dy4 0.419 0.086 0.254
Dy5 0.914 0.581 0.746
Dy6 0.086 0.419 0.254
Sm1 0.667 0.333 0.000
Sm2 0.333 0.667 0.000
Pm1 0.000 0.000 0.000
Er1 0.833 0.167 0.500
Er2 0.167 0.833 0.500
Er3 0.500 0.500 0.500

| no. | DOS at the Fermi energy (states/eV/f.u.) | density (g cm⁻³) |
| --- | --- | --- |
| 1 | 2.50 | 6.19 |
| 2 | 3.94 | 11.26 |
| 3 | 3.55 | 6.56 |
| 4 | 2.73 | 8.79 |
| 5 | 6.15 | 6.31 |
| 6 | 3.61 | 11.22 |
| 7 | 2.77 | 9.36 |
| 8 | 0.88 | 13.11 |
| 9 | 19.91 | 7.40 |
| 10 | 1.42 | 8.22 |
| 11 | 31.32 | 7.12 |
| 12 | 15.58 | 8.38 |